ReTe3Br: relaxed, PBE-GGA.

- E_form (uncorrected): 0.520 eV per atom
- Crystal system: cubic
- Energy relative to the lowest polymorph listed for this composition: 574 meV per atom

Cell: 5.266 5.266 5.266 Å, 90.00 90.00 90.00°
Sites, in units of the cell vectors:
Te: 0.500 0.000 0.000
Br: 0.500 0.500 0.500
Te: 0.000 0.000 0.500
Re: 0.000 0.000 0.000
Te: 0.000 0.500 0.000